RbGdMo2O8 | GGA+U | relaxed

a = 7.5961 Å, b = 7.5961 Å, c = 7.8639 Å
α = 61.84°, β = 61.84°, γ = 88.15°
With the nearest neighbours (Å) after each atom.
Element x y z (fractional)
Gd 0.2284 0.7716 0.2500  6 O 2.33-2.41
Mo 0.6917 0.6945 0.7642  3 O 1.78-1.85
Gd 0.7716 0.2284 0.7500  6 O 2.33-2.41
O 0.6198 0.9293 0.1251  1 Mo 1.85
O 0.5850 0.3699 0.9673  2 Mo 2.00-2.12
O 0.7653 0.6102 0.0677  1 Mo 1.78
Mo 0.6945 0.6917 0.2642  3 O 1.78-1.85
O 0.0539 0.2118 0.8000  1 Mo 1.81
Mo 0.3083 0.3055 0.2358  3 O 1.78-1.85
O 0.2118 0.0539 0.3000  1 Mo 1.81
O 0.9461 0.7882 0.2000  1 Mo 1.81
O 0.9293 0.6198 0.6251  1 Mo 1.85
O 0.6102 0.7653 0.5677  1 Mo 1.78
Mo 0.3055 0.3083 0.7358  3 O 1.78-1.85
O 0.0707 0.3802 0.3749  1 Mo 1.85
O 0.3699 0.5850 0.4673  2 Mo 2.00-2.12
O 0.3802 0.0707 0.8749  1 Mo 1.85
O 0.2347 0.3898 0.9323  1 Mo 1.78
O 0.6301 0.4150 0.5327  2 Mo 2.00-2.12
Rb 0.8060 0.1940 0.2500  8 O 2.86-3.18
O 0.4150 0.6301 0.0327  2 Mo 2.00-2.12
Rb 0.1940 0.8060 0.7500  8 O 2.86-3.18
O 0.7882 0.9461 0.7000  1 Mo 1.81
O 0.3898 0.2347 0.4323  1 Mo 1.78

## Properties
As for the spin magnetization: 13.88 Bohr magnetons per cell. The value obtained for the electronic total energy is -7.88 eV per atom. The space group is No. 15.